A geometry-optimized SrDyZnGe structure. Source: the Alexandria database, functional GGA-PBE.

Structure (CIF):
```
data_SrDyZnGe
_chemical_formula_sum 'Sr4 Dy4 Zn4 Ge4'
_cell_length_a 7.3924
_cell_length_b 7.3924
_cell_length_c 7.3924
_cell_angle_alpha 90.00
_cell_angle_beta 90.00
_cell_angle_gamma 90.00
_space_group_name_H-M_alt 'F -4 3 m'
_space_group_IT_number 216
_space_group_name_Hall 'F -4 2 3'
loop_
_atom_site_label
_atom_site_type_symbol
_atom_site_fract_x
_atom_site_fract_y
_atom_site_fract_z
Sr1 Sr 0.0000 0.0000 0.0000
Dy1 Dy 0.0000 0.0000 0.5000
Zn1 Zn 0.2500 0.2500 0.2500
Ge1 Ge 0.2500 0.2500 0.7500
```

Results
- ΔH_f (0 K) (eV per formula unit) = -1.47
- calculated total energy (eV per atom) = -3.41


A geometry-optimized Dy2TaGe3 structure. Source: the Alexandria database, functional GGA-PBE.

Structure (CIF):
```
data_Dy2TaGe3
_chemical_formula_sum 'Dy4 Ta2 Ge6'
_cell_length_a 3.8760
_cell_length_b 5.6195
_cell_length_c 12.1760
_cell_angle_alpha 90.00
_cell_angle_beta 90.00
_cell_angle_gamma 90.00
_space_group_name_H-M_alt 'I m m m'
_space_group_IT_number 71
_space_group_name_Hall '-I 2 2'
loop_
_atom_site_label
_atom_site_type_symbol
_atom_site_fract_x
_atom_site_fract_y
_atom_site_fract_z
Dy1 Dy 0.0000 0.0000 0.1714
Ta1 Ta 0.0000 0.0000 0.5000
Ge1 Ge 0.0000 0.5000 0.1501
Ge2 Ge 0.0000 0.5000 0.5000
```

Results
- ΔH_f (0 K) (eV per formula unit) = -2.98
- calculated total energy (eV per atom) = -6.31


A geometry-optimized Tb2DyGe2 structure. Source: the Alexandria database, functional GGA-PBE.

Structure (CIF):
```
data_Tb2DyGe2
_chemical_formula_sum 'Tb8 Dy4 Ge8'
_cell_length_a 12.2902
_cell_length_b 4.3831
_cell_length_c 10.4962
_cell_angle_alpha 90.00
_cell_angle_beta 116.95
_cell_angle_gamma 90.00
_space_group_name_H-M_alt 'C 1 2/m 1'
_space_group_IT_number 12
loop_
_space_group_symop_operation_xyz
'x,y,z'
'-x,-y,-z'
'-x,y,-z'
'x,-y,z'
'x+1/2,y+1/2,z'
'-x+1/2,-y+1/2,-z'
'-x+1/2,y+1/2,-z'
'x+1/2,-y+1/2,z'
loop_
_atom_site_label
_atom_site_type_symbol
_atom_site_fract_x
_atom_site_fract_y
_atom_site_fract_z
Tb1 Tb 0.0168 0.0000 0.1863
Tb2 Tb 0.1818 0.0000 0.5857
Dy1 Dy 0.2176 0.5000 0.8572
Ge1 Ge 0.0296 0.5000 0.3931
Ge2 Ge 0.1178 0.5000 0.0647
```

Results
- offset from the most stable computed form (meV/atom) = 100
- ΔH_f (0 K) (eV per formula unit) = -3.41
- calculated total energy (eV per atom) = -5.30


A geometry-optimized Tb2DyGe structure. Source: the Alexandria database, functional GGA-PBE.

Structure (CIF):
```
data_Tb2DyGe
_chemical_formula_sum 'Tb2 Dy1 Ge1'
_cell_length_a 4.6757
_cell_length_b 4.6757
_cell_length_c 4.6764
_cell_angle_alpha 90.00
_cell_angle_beta 90.00
_cell_angle_gamma 90.00
_space_group_name_H-M_alt 'P 4/m m m'
_space_group_IT_number 123
_space_group_name_Hall '-P 4 2'
loop_
_atom_site_label
_atom_site_type_symbol
_atom_site_fract_x
_atom_site_fract_y
_atom_site_fract_z
Tb1 Tb 0.0000 0.5000 0.0000
Dy1 Dy 0.0000 0.0000 0.5000
Ge1 Ge 0.5000 0.5000 0.5000
```

Results
- offset from the most stable computed form (meV/atom) = 0
- ΔH_f (0 K) (eV per formula unit) = -1.33
- calculated total energy (eV per atom) = -4.95


A geometry-optimized Tb2DyGe2 structure. Source: the Alexandria database, functional GGA-PBE.

Structure (CIF):
```
data_Tb2DyGe2
_chemical_formula_sum 'Tb4 Dy2 Ge4'
_cell_length_a 7.6113
_cell_length_b 7.6113
_cell_length_c 4.2584
_cell_angle_alpha 90.00
_cell_angle_beta 90.00
_cell_angle_gamma 90.00
_space_group_name_H-M_alt 'P 4/m b m'
_space_group_IT_number 127
_space_group_name_Hall '-P 4 2ab'
loop_
_atom_site_label
_atom_site_type_symbol
_atom_site_fract_x
_atom_site_fract_y
_atom_site_fract_z
Tb1 Tb 0.1731 0.3269 0.0000
Dy1 Dy 0.0000 0.0000 0.5000
Ge1 Ge 0.1245 0.6245 0.5000
```

Results
- offset from the most stable computed form (meV/atom) = 0
- ΔH_f (0 K) (eV per formula unit) = -3.92
- calculated total energy (eV per atom) = -5.40


A geometry-optimized Tb5Dy2Ge4 structure. Source: the Alexandria database, functional GGA-PBE.

Structure (CIF):
```
data_Tb5Dy2Ge4
_chemical_formula_sum 'Tb10 Dy4 Ge8'
_cell_length_a 29.1692
_cell_length_b 4.4185
_cell_length_c 4.4163
_cell_angle_alpha 90.00
_cell_angle_beta 98.61
_cell_angle_gamma 90.00
_space_group_name_H-M_alt 'C 1 2/m 1'
_space_group_IT_number 12
loop_
_space_group_symop_operation_xyz
'x,y,z'
'-x,-y,-z'
'-x,y,-z'
'x,-y,z'
'x+1/2,y+1/2,z'
'-x+1/2,-y+1/2,-z'
'-x+1/2,y+1/2,-z'
'x+1/2,-y+1/2,z'
loop_
_atom_site_label
_atom_site_type_symbol
_atom_site_fract_x
_atom_site_fract_y
_atom_site_fract_z
Tb1 Tb 0.0000 0.0000 0.0000
Tb2 Tb 0.1109 0.0000 0.6132
Tb3 Tb 0.2108 0.5000 0.7117
Dy1 Dy 0.1108 0.5000 0.1133
Ge1 Ge 0.0426 0.5000 0.5465
Ge2 Ge 0.1868 0.0000 0.1884
```

Results
- ΔH_f (0 K) (eV per formula unit) = -6.27
- calculated total energy (eV per atom) = -5.19


A geometry-optimized TbDy2Ge structure. Source: the Alexandria database, functional GGA-PBE.

Structure (CIF):
```
data_TbDy2Ge
_chemical_formula_sum 'Tb1 Dy2 Ge1'
_cell_length_a 4.6703
_cell_length_b 4.6703
_cell_length_c 4.6675
_cell_angle_alpha 90.00
_cell_angle_beta 90.00
_cell_angle_gamma 90.00
_space_group_name_H-M_alt 'P 4/m m m'
_space_group_IT_number 123
_space_group_name_Hall '-P 4 2'
loop_
_atom_site_label
_atom_site_type_symbol
_atom_site_fract_x
_atom_site_fract_y
_atom_site_fract_z
Tb1 Tb 0.0000 0.0000 0.0000
Dy1 Dy 0.0000 0.5000 0.5000
Ge1 Ge 0.5000 0.5000 0.0000
```

Results
- offset from the most stable computed form (meV/atom) = 0
- ΔH_f (0 K) (eV per formula unit) = -1.32
- calculated total energy (eV per atom) = -4.94


A geometry-optimized Tb2Dy3Ge4 structure. Source: the Alexandria database, functional GGA-PBE.

Structure (CIF):
```
data_Tb2Dy3Ge4
_chemical_formula_sum 'Tb4 Dy6 Ge8'
_cell_length_a 7.9822
_cell_length_b 7.7965
_cell_length_c 7.6202
_cell_angle_alpha 90.00
_cell_angle_beta 112.56
_cell_angle_gamma 90.00
_space_group_name_H-M_alt 'P 1 21/c 1'
_space_group_IT_number 14
loop_
_space_group_symop_operation_xyz
'x,y,z'
'-x,-y,-z'
'-x,y+1/2,-z+1/2'
'x,-y+1/2,z+1/2'
loop_
_atom_site_label
_atom_site_type_symbol
_atom_site_fract_x
_atom_site_fract_y
_atom_site_fract_z
Tb1 Tb 0.2011 0.1792 0.0601
Dy1 Dy 0.2360 0.6629 0.2252
Dy2 Dy 0.5000 0.0000 0.5000
Ge1 Ge 0.0884 0.5333 0.8218
Ge2 Ge 0.4913 0.1315 0.8703
```

Results
- ΔH_f (0 K) (eV per formula unit) = -7.78
- calculated total energy (eV per atom) = -5.48


A geometry-optimized TbDy2Ge2 structure. Source: the Alexandria database, functional GGA-PBE.

Structure (CIF):
```
data_TbDy2Ge2
_chemical_formula_sum 'Tb4 Dy8 Ge8'
_cell_length_a 12.3108
_cell_length_b 4.3941
_cell_length_c 10.4265
_cell_angle_alpha 90.00
_cell_angle_beta 117.30
_cell_angle_gamma 90.00
_space_group_name_H-M_alt 'C 1 2/m 1'
_space_group_IT_number 12
loop_
_space_group_symop_operation_xyz
'x,y,z'
'-x,-y,-z'
'-x,y,-z'
'x,-y,z'
'x+1/2,y+1/2,z'
'-x+1/2,-y+1/2,-z'
'-x+1/2,y+1/2,-z'
'x+1/2,-y+1/2,z'
loop_
_atom_site_label
_atom_site_type_symbol
_atom_site_fract_x
_atom_site_fract_y
_atom_site_fract_z
Tb1 Tb 0.2161 0.0000 0.3538
Dy1 Dy 0.0167 0.5000 0.6855
Dy2 Dy 0.1841 0.5000 0.0846
Ge1 Ge 0.0342 0.0000 0.8948
Ge2 Ge 0.1179 0.0000 0.5651
```

Results
- offset from the most stable computed form (meV/atom) = 104
- ΔH_f (0 K) (eV per formula unit) = -3.33
- calculated total energy (eV per atom) = -5.28


A geometry-optimized Tb2DyGe structure. Source: the Alexandria database, functional GGA-PBE.

Structure (CIF):
```
data_Tb2DyGe
_chemical_formula_sum 'Tb6 Dy3 Ge3'
_cell_length_a 3.6784
_cell_length_b 3.6784
_cell_length_c 29.9231
_cell_angle_alpha 90.00
_cell_angle_beta 90.00
_cell_angle_gamma 120.00
_space_group_name_H-M_alt 'R -3 m'
_space_group_IT_number 166
_space_group_name_Hall '-R 3 2"'
loop_
_atom_site_label
_atom_site_type_symbol
_atom_site_fract_x
_atom_site_fract_y
_atom_site_fract_z
Tb1 Tb 0.0000 0.0000 0.2338
Dy1 Dy 0.0000 0.0000 0.0000
Ge1 Ge 0.0000 0.0000 0.5000
```

Results
- offset from the most stable computed form (meV/atom) = 119
- ΔH_f (0 K) (eV per formula unit) = -0.85
- calculated total energy (eV per atom) = -4.83


A geometry-optimized TbDy2Ge2 structure. Source: the Alexandria database, functional GGA-PBE.

Structure (CIF):
```
data_TbDy2Ge2
_chemical_formula_sum 'Tb2 Dy4 Ge4'
_cell_length_a 7.6208
_cell_length_b 7.6208
_cell_length_c 4.2267
_cell_angle_alpha 90.00
_cell_angle_beta 90.00
_cell_angle_gamma 90.00
_space_group_name_H-M_alt 'P 4/m b m'
_space_group_IT_number 127
_space_group_name_Hall '-P 4 2ab'
loop_
_atom_site_label
_atom_site_type_symbol
_atom_site_fract_x
_atom_site_fract_y
_atom_site_fract_z
Tb1 Tb 0.0000 0.0000 0.0000
Dy1 Dy 0.1727 0.3273 0.5000
Ge1 Ge 0.1247 0.6247 0.0000
```

Results
- offset from the most stable computed form (meV/atom) = 0
- ΔH_f (0 K) (eV per formula unit) = -3.85
- calculated total energy (eV per atom) = -5.38


A geometry-optimized Tb5DyGe4 structure. Source: the Alexandria database, functional GGA-PBE.

Structure (CIF):
```
data_Tb5DyGe4
_chemical_formula_sum 'Tb10 Dy2 Ge8'
_cell_length_a 15.2999
_cell_length_b 4.9663
_cell_length_c 6.9082
_cell_angle_alpha 90.00
_cell_angle_beta 90.12
_cell_angle_gamma 90.00
_space_group_name_H-M_alt 'C 1 2/m 1'
_space_group_IT_number 12
loop_
_space_group_symop_operation_xyz
'x,y,z'
'-x,-y,-z'
'-x,y,-z'
'x,-y,z'
'x+1/2,y+1/2,z'
'-x+1/2,-y+1/2,-z'
'-x+1/2,y+1/2,-z'
'x+1/2,-y+1/2,z'
loop_
_atom_site_label
_atom_site_type_symbol
_atom_site_fract_x
_atom_site_fract_y
_atom_site_fract_z
Tb1 Tb 0.0000 0.0000 0.0000
Tb2 Tb 0.1649 0.5000 0.5061
Tb3 Tb 0.1648 0.5000 0.9933
Dy1 Dy 0.0000 0.0000 0.5000
Ge1 Ge 0.0099 0.5000 0.2509
Ge2 Ge 0.1786 0.0000 0.7497
```

Results
- ΔH_f (0 K) (eV per formula unit) = -6.40
- calculated total energy (eV per atom) = -5.26